# 1
Here is a relaxed structure of Al3CrC from Alexandria. Energies are from PBE-GGA.

theoretical density	3.7	Mg/m³
distance to the lowest polymorph of the same formula	0	meV/atom
SG	No. 221
total energy	-27.1	eV per cell

a = 4.020 Å, b = 4.020 Å, c = 4.020 Å
α = 90.00°, β = 90.00°, γ = 90.00°
Positions (direct):
1 Cr 0.500 0.500 0.500
2 C 0.000 0.000 0.000
3 Al 0.000 0.500 0.000
4 Al 0.000 0.000 0.500
5 Al 0.500 0.000 0.000

=====

# 2
Here is a relaxed structure of AlCr3C from Alexandria. Energies are from PBE-GGA.

theoretical density	5.8	Mg/m³
SG	No. 47
total energy	-84.3	eV per cell

a = 3.951 Å, b = 5.151 Å, c = 5.525 Å
α = 90.00°, β = 90.00°, γ = 90.00°
Positions (direct):
1 Al 0.500 0.500 0.750
2 Al 0.500 0.500 0.250
3 Cr 0.000 0.735 0.500
4 Cr 0.000 0.265 0.500
5 Cr 0.000 0.735 0.000
6 Cr 0.000 0.265 0.000
7 Cr 0.500 0.000 0.750
8 Cr 0.500 0.000 0.250
9 C 0.000 0.000 0.750
10 C 0.000 0.000 0.250

=====

# 3
Here is a relaxed structure of Al3CrC from Alexandria. Energies are from PBE-GGA.

theoretical density	2.4	Mg/m³
distance to the lowest polymorph of the same formula	1235	meV/atom
SG	No. 221
total energy	-20.9	eV per cell

a = 4.629 Å, b = 4.629 Å, c = 4.629 Å
α = 90.00°, β = 90.00°, γ = 90.00°
Site moments in Bohr magnetons follow the coordinates.
Positions (direct):
1 Cr 0.000 0.000 0.000  1.39
2 C 0.500 0.500 0.500  0.31
3 Al 0.000 0.500 0.000  -0.02
4 Al 0.000 0.000 0.500  0.00
5 Al 0.500 0.000 0.000  -0.02